[1]
# TbDyTlCu PBE relaxed
data_TbDyTlCu
_chemical_formula_sum 'Tb1 Dy1 Tl1 Cu1'
_symmetry_space_group_name_H-M 'P 1'
_symmetry_Int_Tables_number 1
_cell_length_a 5.1888
_cell_length_b 5.1888
_cell_length_c 5.1888
_cell_angle_alpha 60.00
_cell_angle_beta 60.00
_cell_angle_gamma 60.00
loop_
_symmetry_equiv_pos_as_xyz
'x,y,z'
loop_
_atom_site_label
_atom_site_type_symbol
_atom_site_fract_x
_atom_site_fract_y
_atom_site_fract_z
_atom_site_occupancy
Tl1 Tl 0.2500 0.2500 0.2500 1
Cu1 Cu 0.7500 0.7500 0.7500 1
Tb1 Tb 0.0000 0.0000 0.0000 1
Dy1 Dy 0.5000 0.5000 0.5000 1
# DOS at the Fermi energy = 0.85 states/eV per atom
# VASP energy = -4.1688 eV/atom
# Symmetry = No. 216
# V = 99 Å³/f.u.

---

[2]
# BeNiRu2 PBE relaxed
data_BeNiRu2
_chemical_formula_sum 'Be1 Ni1 Ru2'
_symmetry_space_group_name_H-M 'P 1'
_symmetry_Int_Tables_number 1
_cell_length_a 4.1048
_cell_length_b 4.1048
_cell_length_c 4.1048
_cell_angle_alpha 60.00
_cell_angle_beta 60.00
_cell_angle_gamma 60.00
loop_
_symmetry_equiv_pos_as_xyz
'x,y,z'
loop_
_atom_site_label
_atom_site_type_symbol
_atom_site_fract_x
_atom_site_fract_y
_atom_site_fract_z
_atom_site_occupancy
Ru1 Ru 0.2500 0.2500 0.2500 1
Ni1 Ni 0.7500 0.7500 0.7500 1
Be1 Be 0.5000 0.5000 0.5000 1
Ru2 Ru 0.0000 0.0000 0.0000 1
# DOS at the Fermi energy = 1.44 states/eV per atom
# VASP energy = -6.8775 eV/atom
# Symmetry = No. 216
# V = 49 Å³/f.u.

---

| no. | energy relative to the elements (meV per atom) |
| --- | --- |
| 1 | -245 |
| 2 | 137 |